DFT (meta-GGA SCAN) results for a PBEsol-optimized structure of Zn2NiAu. Values from VASP.

## Properties
The density is 11.79 g/cm3. The crystal system is monoclinic. The value obtained for the energy is -28.234 eV/atom. Its symmetry is No. 12.

Quantum ESPRESSO input file:
```
&SYSTEM
  ibrav = 0, nat = 4, ntyp = 3
/
ATOMIC_SPECIES
Zn 65.41 Zn.upf
Ni 58.69 Ni.upf
Au 196.97 Au.upf
CELL_PARAMETERS angstrom
4.230 -1.421 0.000
4.230 1.421 0.000
-1.034 0.000 4.528
ATOMIC_POSITIONS angstrom
Zn 1.806 0.000 1.035
Zn 5.620 0.000 3.493
Ni 4.230 0.000 0.000
Au -0.517 0.000 2.264
```